A plane-wave DFT calculation with GGA-PBE was carried out for a relaxed SrZrF6 crystal.

Raw total energy in eV per atom: -6.46
Formation energy without anion corrections in eV/atom: -3.778
Volume in Å³/cell: 136.02

CIF file:
```
data_SrZrF6
_cell_length_a 5.1657
_cell_length_b 5.1657
_cell_length_c 5.5082
_cell_angle_alpha 74.42
_cell_angle_beta 74.42
_cell_angle_gamma 82.01
_space_group_name_H-M_alt 'P 1'
_space_group_IT_number 1
loop_
_space_group_symop_operation_xyz
'x,y,z'
loop_
_atom_site_label
_atom_site_fract_x
_atom_site_fract_y
_atom_site_fract_z
F1 0.1369 0.7202 0.2872
F2 0.2708 0.2708 0.9556
F3 0.7202 0.1369 0.2872
F4 0.7292 0.7292 0.0444
F5 0.2798 0.8631 0.7128
F6 0.8631 0.2798 0.7128
Sr1 0.5000 0.5000 0.5000
Zr1 0.0000 0.0000 0.0000
```